# 1
A plane-wave DFT calculation with GGA-PBE was carried out for a relaxed structure of SbBrO.

Cell: 10.909 3.747 7.793 Å, 90.00 98.47 90.00°
Space group C2/m (No. 12)
Inequivalent atoms, fractional coordinates:
Sb 0.217 0.000 0.319 x4
Br 0.111 0.000 0.806 x4
O 0.169 0.500 0.449 x4

Values from the calculation:
E above lowest polymorph   58 meV/atom
Energy relative to the elements, uncorrected   -0.9778 eV/atom

=====

# 2
A plane-wave DFT calculation with GGA-PBE was carried out for a relaxed structure of ZnFe3Ru.

Cell: 4.568 4.568 4.568 Å, 90.00 90.00 90.00°
Space group Pm-3m (No. 221)
Inequivalent atoms, fractional coordinates:
Zn 0.000 0.000 0.000 x1
Fe 0.000 0.500 0.500 x3
Ru 0.500 0.500 0.500 x1

Values from the calculation:
E above lowest polymorph   0 meV/atom
Energy of formation   1.361 eV per atom

=====

# 3
A plane-wave DFT calculation with GGA-PBE was carried out for a relaxed structure of NdGe5.

Cell: 10.673 6.278 4.060 Å, 90.00 112.23 90.00°
Space group C2/m (No. 12)
Inequivalent atoms, fractional coordinates:
Nd 0.000 0.000 0.000 x2
Ge 0.000 0.500 0.000 x2
Ge 0.169 0.296 0.670 x8

Values from the calculation:
Energy of formation   -0.259 eV per atom

=====

# 4
A plane-wave DFT calculation with GGA-PBE was carried out for a relaxed structure of Pm5Dy2Sn4.

Cell: 22.227 4.537 7.636 Å, 90.00 108.50 90.00°
Space group C2/m (No. 12)
Inequivalent atoms, fractional coordinates:
Pm 0.000 0.000 0.000 x2
Pm 0.158 0.500 0.932 x4
Pm 0.165 0.500 0.411 x4
Dy 0.073 0.000 0.580 x4
Sn 0.005 0.500 0.290 x4
Sn 0.215 0.000 0.726 x4

Values from the calculation:
Energy of formation   -0.419 eV per atom

=====

# 5
A plane-wave DFT calculation with GGA-PBE was carried out for a relaxed structure of Al2Tl.

Cell: 3.019 8.096 5.490 Å, 90.00 90.00 90.00°
Space group Pnnm (No. 58)
Inequivalent atoms, fractional coordinates:
Al 0.241 0.147 0.000 x4
Tl 0.000 0.500 0.000 x2

Values from the calculation:
E above lowest polymorph   167 meV/atom
Energy of formation   0.343 eV per atom

=====

# 6
A plane-wave DFT calculation with GGA-PBE was carried out for a relaxed structure of Y2HoEr.

Cell: 3.535 5.012 7.093 Å, 90.00 90.00 90.00°
Space group Pmm2 (No. 25)
Inequivalent atoms, fractional coordinates:
Y 0.000 0.000 0.000 x1
Y 0.500 0.500 0.253 x1
Ho 0.000 0.000 0.504 x1
Er 0.500 0.500 0.750 x1

Values from the calculation:
E above lowest polymorph   22 meV/atom
Energy of formation   0.023 eV per atom

=====

# 7
A plane-wave DFT calculation with GGA-PBE was carried out for a relaxed structure of Tl2AsPt.

Cell: 3.253 3.253 8.452 Å, 90.00 90.00 90.00°
Space group P4/mmm (No. 123)
Inequivalent atoms, fractional coordinates:
Tl 0.000 0.000 0.228 x2
As 0.500 0.500 0.500 x1
Pt 0.500 0.500 0.000 x1

Values from the calculation:
E above lowest polymorph   449 meV/atom
Energy of formation   0.266 eV per atom

=====

# 8
A plane-wave DFT calculation with GGA-PBE was carried out for a relaxed structure of Be4NiMo.

Cell: 6.130 6.130 6.130 Å, 90.00 90.00 90.00°
Space group F-43m (No. 216)
Inequivalent atoms, fractional coordinates:
Be 0.122 0.122 0.378 x16
Ni 0.000 0.000 0.000 x4
Mo 0.250 0.250 0.750 x4

Values from the calculation:
Energy of formation   -0.128 eV per atom

=====

- Number 3 is which compound?
  NdGe5